First-principles (SCAN) data for Zr2CdAg at its PBEsol-relaxed geometry, as listed in the Alexandria database.

Properties
Crystal system ... tetragonal
ΔH_f (0 K) ... -70 meV/atom

abc: 4.8364 4.8364 3.4390
angles: 90.00 90.00 90.00
Closest atoms and distances in Å follow each position.
Fractional coordinates of all 4 atoms:
Zr (0.0000, 0.5000, 0.0000)  4 Cd 2.97, 4 Ag 2.97
Zr (0.5000, 0.0000, 0.0000)  4 Cd 2.97, 4 Ag 2.97
Cd (0.0000, 0.0000, 0.5000)  8 Zr 2.97
Ag (0.5000, 0.5000, 0.5000)  8 Zr 2.97



First-principles (SCAN) data for AgRhF6 at its PBEsol-relaxed geometry, as listed in the Alexandria database.

Properties
Crystal system ... trigonal
Raw total energy ... -12.330 eV per atom

abc: 5.6431 5.6431 5.6431
angles: 53.24 53.24 53.24
Closest atoms and distances in Å follow each position.
Fractional coordinates of all 8 atoms:
Ag (0.0000, 0.0000, 0.0000)  6 F 2.24
Rh (0.5000, 0.5000, 0.5000)  6 F 1.90
F (0.1107, 0.7213, 0.4394)  1 Rh 1.90
F (0.2787, 0.5606, 0.8893)  1 Rh 1.90
F (0.4394, 0.1107, 0.7213)  1 Rh 1.90
F (0.5606, 0.8893, 0.2787)  1 Rh 1.90
F (0.7213, 0.4394, 0.1107)  1 Rh 1.90
F (0.8893, 0.2787, 0.5606)  1 Rh 1.90



First-principles (SCAN) data for CsFeRe2 at its PBEsol-relaxed geometry, as listed in the Alexandria database.

Properties
Crystal system ... cubic
ΔH_f (0 K) ... 2410 meV/atom

abc: 4.5135 4.5135 4.5135
angles: 60.00 60.00 60.00
Closest atoms and distances in Å follow each position.
Fractional coordinates of all 4 atoms:
Cs (0.0000, 0.0000, 0.0000)  8 Re 2.76
Fe (0.5000, 0.5000, 0.5000)  8 Re 2.76
Re (0.2500, 0.2500, 0.2500)  4 Fe 2.76, 4 Cs 2.76
Re (0.7500, 0.7500, 0.7500)  4 Cs 2.76, 4 Fe 2.76



First-principles (SCAN) data for BeAl2SiW at its PBEsol-relaxed geometry, as listed in the Alexandria database.

Properties
Crystal system ... tetragonal
Raw total energy ... -18.623 eV per atom

abc: 4.8040 4.8040 4.3695
angles: 90.00 90.00 90.00
Closest atoms and distances in Å follow each position.
Fractional coordinates of all 5 atoms:
Be (0.0000, 0.0000, 0.0000)  2 W 2.18
Al (0.0000, 0.5000, 0.5000)  2 W 2.40
Al (0.5000, 0.0000, 0.5000)  2 W 2.40
Si (0.5000, 0.5000, 0.0000)  8 Al 3.25, 4 Be 3.40
W (0.0000, 0.0000, 0.5000)  2 Be 2.18, 4 Al 2.40



First-principles (SCAN) data for CdIn8 at its PBEsol-relaxed geometry, as listed in the Alexandria database.

Properties
Crystal system ... tetragonal
ΔH_f (0 K) ... 70 meV/atom

abc: 7.4208 7.4208 7.4208
angles: 95.16 95.16 145.09
Closest atoms and distances in Å follow each position.
Fractional coordinates of all 9 atoms:
Cd (0.0000, 0.0000, 0.0000)  12 In 3.21-3.31
In (0.0000, 0.3307, 0.3307)  11 In 3.23-3.39, 1 Cd 3.31
In (0.0000, 0.6693, 0.6693)  11 In 3.23-3.39, 1 Cd 3.31
In (0.3307, 0.0000, 0.3307)  11 In 3.23-3.39, 1 Cd 3.31
In (0.3362, 0.3362, 0.6725)  2 Cd 3.21, 10 In 3.23-3.37
In (0.3362, 0.6638, 0.0000)  2 Cd 3.21, 10 In 3.23-3.37
In (0.6638, 0.3362, 0.0000)  2 Cd 3.21, 10 In 3.23-3.37
In (0.6638, 0.6638, 0.3275)  2 Cd 3.21, 10 In 3.23-3.37
In (0.6693, 0.0000, 0.6693)  11 In 3.23-3.39, 1 Cd 3.31



First-principles (SCAN) data for Zr4TaGe4 at its PBEsol-relaxed geometry, as listed in the Alexandria database.

Properties
Crystal system ... tetragonal
ΔH_f (0 K) ... -871 meV/atom

abc: 7.0912 7.0912 12.9938
angles: 90.00 90.00 90.00
Closest atoms and distances in Å follow each position.
Fractional coordinates of all 36 atoms:
Zr (0.0019, 0.1630, 0.0000)  7 Ge 2.77-3.08
Zr (0.0017, 0.3446, 0.5998)  6 Ge 2.62-2.81
Zr (0.1630, 0.9981, 0.7500)  7 Ge 2.77-3.08
Zr (0.1673, 0.3294, 0.2210)  6 Ge 2.73-2.86, 1 Ta 3.03, 1 Zr 3.04
Zr (0.3294, 0.8327, 0.9710)  6 Ge 2.73-2.86, 1 Ta 3.03, 1 Zr 3.04
Zr (0.3435, 0.4967, 0.4432)  7 Ge 2.77-3.07
Zr (0.3446, 0.9983, 0.3498)  6 Ge 2.62-2.81
Zr (0.4967, 0.6565, 0.1932)  7 Ge 2.77-3.07
Zr (0.5033, 0.3435, 0.6932)  7 Ge 2.77-3.07
Zr (0.6554, 0.0017, 0.8498)  6 Ge 2.62-2.81
Zr (0.6565, 0.5033, 0.9432)  7 Ge 2.77-3.07
Zr (0.6706, 0.1673, 0.4710)  6 Ge 2.73-2.86, 1 Ta 3.03, 1 Zr 3.04
Zr (0.8327, 0.6706, 0.7210)  6 Ge 2.73-2.86, 1 Ta 3.03, 1 Zr 3.04
Zr (0.8370, 0.0019, 0.2500)  7 Ge 2.77-3.08
Zr (0.9983, 0.6554, 0.0998)  6 Ge 2.62-2.81
Zr (0.9981, 0.8370, 0.5000)  7 Ge 2.77-3.08
Ta (0.1578, 0.5077, 0.8435)  6 Ge 2.58-2.78
Ta (0.4923, 0.1578, 0.0935)  6 Ge 2.58-2.78
Ta (0.5077, 0.8422, 0.5935)  6 Ge 2.58-2.78
Ta (0.8422, 0.4923, 0.3435)  6 Ge 2.58-2.78
Ge (0.0374, 0.1984, 0.4052)  1 Ta 2.63, 6 Zr 2.70-2.86, 1 Ge 2.71
Ge (0.1326, 0.6976, 0.3016)  1 Ta 2.58, 4 Zr 2.68-2.82, 1 Ge 2.71
Ge (0.1984, 0.9626, 0.1552)  1 Ta 2.63, 6 Zr 2.70-2.86, 1 Ge 2.71
Ge (0.2093, 0.6402, 0.6440)  1 Ge 2.60, 4 Zr 2.62-2.91, 2 Ta 2.64-2.78
Ge (0.2994, 0.4610, 0.0358)  1 Ge 2.60, 2 Ta 2.66-2.71, 5 Zr 2.67-2.84
Ge (0.3024, 0.1326, 0.5516)  1 Ta 2.58, 4 Zr 2.68-2.82, 1 Ge 2.71
Ge (0.3598, 0.2093, 0.8940)  1 Ge 2.60, 4 Zr 2.62-2.91, 2 Ta 2.64-2.78
Ge (0.4610, 0.7006, 0.7858)  1 Ge 2.60, 2 Ta 2.66-2.71, 5 Zr 2.67-2.84
Ge (0.5390, 0.2994, 0.2858)  1 Ge 2.60, 2 Ta 2.66-2.71, 5 Zr 2.67-2.84
Ge (0.6402, 0.7907, 0.3940)  1 Ge 2.60, 4 Zr 2.62-2.91, 2 Ta 2.64-2.78
Ge (0.6976, 0.8674, 0.0516)  1 Ta 2.58, 4 Zr 2.68-2.82, 1 Ge 2.71
Ge (0.7006, 0.5390, 0.5358)  1 Ge 2.60, 2 Ta 2.66-2.71, 5 Zr 2.67-2.84
Ge (0.7907, 0.3598, 0.1440)  1 Ge 2.60, 4 Zr 2.62-2.91, 2 Ta 2.64-2.78
Ge (0.8016, 0.0374, 0.6552)  1 Ta 2.63, 6 Zr 2.70-2.86, 1 Ge 2.71
Ge (0.8674, 0.3024, 0.8016)  1 Ta 2.58, 4 Zr 2.68-2.82, 1 Ge 2.71
Ge (0.9626, 0.8016, 0.9052)  1 Ta 2.63, 6 Zr 2.70-2.86, 1 Ge 2.71



First-principles (SCAN) data for Al2FeSbAu at its PBEsol-relaxed geometry, as listed in the Alexandria database.

Properties
Crystal system ... tetragonal
Raw total energy ... -27.715 eV per atom

abc: 4.7257 4.7257 4.8951
angles: 90.00 90.00 90.00
Closest atoms and distances in Å follow each position.
Fractional coordinates of all 5 atoms:
Al (0.0000, 0.5000, 0.0000)  2 Au 2.36
Al (0.5000, 0.0000, 0.0000)  2 Au 2.36
Fe (0.0000, 0.0000, 0.5000)  2 Au 2.45
Sb (0.5000, 0.5000, 0.5000)  4 Fe 3.34, 8 Al 3.40
Au (0.0000, 0.0000, 0.0000)  4 Al 2.36, 2 Fe 2.45



First-principles (SCAN) data for AlCrRh2 at its PBEsol-relaxed geometry, as listed in the Alexandria database.

Properties
Crystal system ... tetragonal
ΔH_f (0 K) ... -756 meV/atom

abc: 4.2312 4.2312 2.9475
angles: 90.00 90.00 90.00
Closest atoms and distances in Å follow each position.
Fractional coordinates of all 4 atoms:
Al (0.0000, 0.0000, 0.0000)  8 Rh 2.58
Cr (0.5000, 0.5000, 0.0000)  8 Rh 2.58
Rh (0.0000, 0.5000, 0.5000)  4 Cr 2.58, 4 Al 2.58
Rh (0.5000, 0.0000, 0.5000)  4 Cr 2.58, 4 Al 2.58



First-principles (SCAN) data for CrSbHI2 at its PBEsol-relaxed geometry, as listed in the Alexandria database.

Properties
Crystal system ... tetragonal
Raw total energy ... -26.028 eV per atom

abc: 5.4800 5.4800 3.8619
angles: 90.00 90.00 90.00
Closest atoms and distances in Å follow each position.
Fractional coordinates of all 5 atoms:
Cr (0.0000, 0.0000, 0.0000)  8 I 3.35
Sb (0.5000, 0.5000, 0.0000)  2 H 1.93
H (0.5000, 0.5000, 0.5000)  2 Sb 1.93
I (0.0000, 0.5000, 0.5000)  2 H 2.74
I (0.5000, 0.0000, 0.5000)  2 H 2.74



First-principles (SCAN) data for ZrSc2Cr at its PBEsol-relaxed geometry, as listed in the Alexandria database.

Properties
Crystal system ... trigonal
Polymorph energy (0 for the lowest one) ... 0.2879 eV/atom
ΔH_f (0 K) ... 375 meV/atom

abc: 9.2989 9.2989 9.2989
angles: 19.61 19.61 19.61
Closest atoms and distances in Å follow each position.
Fractional coordinates of all 4 atoms:
Zr (0.0000, 0.0000, 0.0000)  3 Cr 2.57
Sc (0.5288, 0.5288, 0.5288)  3 Cr 2.69
Sc (0.7609, 0.7609, 0.7609)  3 Zr 3.16, 9 Sc 3.17-3.32
Cr (0.2674, 0.2674, 0.2674)  3 Zr 2.57, 3 Sc 2.69



First-principles (SCAN) data for Ag3Hg4 at its PBEsol-relaxed geometry, as listed in the Alexandria database.

Properties
Crystal system ... tetragonal
ΔH_f (0 K) ... 78 meV/atom

abc: 10.8318 10.8318 10.8318
angles: 160.84 160.84 27.22
Closest atoms and distances in Å follow each position.
Fractional coordinates of all 7 atoms:
Ag (0.0000, 0.0000, 0.0000)  10 Hg 2.95-3.12
Ag (0.2832, 0.2832, 0.0000)  6 Hg 2.85-3.08, 4 Ag 2.91
Ag (0.7168, 0.7168, 0.0000)  6 Hg 2.85-3.08, 4 Ag 2.91
Hg (0.1481, 0.1481, 0.0000)  6 Ag 2.85-3.12, 4 Hg 3.03
Hg (0.4294, 0.4294, 0.0000)  5 Ag 2.95-3.08, 5 Hg 2.97-3.03
Hg (0.5706, 0.5706, 0.0000)  5 Ag 2.95-3.08, 5 Hg 2.97-3.03
Hg (0.8519, 0.8519, 0.0000)  6 Ag 2.85-3.12, 4 Hg 3.03



First-principles (SCAN) data for Tc2GeP2 at its PBEsol-relaxed geometry, as listed in the Alexandria database.

Properties
Crystal system ... tetragonal
ΔH_f (0 K) ... -169 meV/atom

abc: 6.3376 6.3376 6.3376
angles: 147.72 147.72 46.30
Closest atoms and distances in Å follow each position.
Fractional coordinates of all 5 atoms:
Tc (0.1190, 0.1190, 0.0000)  4 P 2.33
Tc (0.8810, 0.8810, 0.0000)  4 P 2.33
Ge (0.5000, 0.5000, 0.0000)  8 Tc 2.85
P (0.2500, 0.7500, 0.5000)  4 Tc 2.33, 4 P 2.49
P (0.7500, 0.2500, 0.5000)  4 Tc 2.33, 4 P 2.49



First-principles (SCAN) data for BeRhSe2 at its PBEsol-relaxed geometry, as listed in the Alexandria database.

Properties
Crystal system ... tetragonal
Raw total energy ... -19.935 eV per atom

abc: 6.4456 6.4456 6.4456
angles: 131.28 131.28 71.37
Closest atoms and distances in Å follow each position.
Fractional coordinates of all 8 atoms:
Be (0.0000, 0.0000, 0.0000)  4 Se 2.20
Be (0.7500, 0.2500, 0.5000)  4 Se 2.20
Rh (0.2500, 0.7500, 0.5000)  4 Se 2.39
Rh (0.5000, 0.5000, 0.0000)  4 Se 2.39
Se (0.0954, 0.6250, 0.9704)  2 Be 2.20, 2 Rh 2.39
Se (0.3750, 0.3454, 0.4704)  2 Be 2.20, 2 Rh 2.39
Se (0.6546, 0.1250, 0.0296)  2 Be 2.20, 2 Rh 2.39
Se (0.8750, 0.9046, 0.5296)  2 Be 2.20, 2 Rh 2.39



First-principles (SCAN) data for Pr2GePdO6 at its PBEsol-relaxed geometry, as listed in the Alexandria database.

Properties
Crystal system ... monoclinic
Raw total energy ... -20.109 eV per atom

abc: 5.7425 5.7425 5.0968
angles: 110.41 110.41 54.65
Closest atoms and distances in Å follow each position.
Fractional coordinates of all 10 atoms:
Pr (0.2360, 0.2360, 0.2203)  5 O 2.35-2.43
Pr (0.7640, 0.7640, 0.7797)  5 O 2.35-2.43
Ge (0.5000, 0.5000, 0.0000)  6 O 1.87-1.93
Pd (0.0000, 0.0000, 0.5000)  4 O 2.01
O (0.1736, 0.6746, 0.1784)  1 Ge 1.93, 1 Pd 2.01
O (0.3148, 0.3148, 0.7195)  1 Ge 1.87
O (0.3254, 0.8264, 0.8216)  1 Ge 1.93, 1 Pd 2.01
O (0.6746, 0.1736, 0.1784)  1 Ge 1.93, 1 Pd 2.01
O (0.6852, 0.6852, 0.2805)  1 Ge 1.87
O (0.8264, 0.3254, 0.8216)  1 Ge 1.93, 1 Pd 2.01



First-principles (SCAN) data for LiLa5Si4N10O at its PBEsol-relaxed geometry, as listed in the Alexandria database.

Properties
Crystal system ... triclinic
Raw total energy ... -18.772 eV per atom

abc: 5.7114 6.4936 8.2817
angles: 102.99 107.18 94.88
Closest atoms and distances in Å follow each position.
Fractional coordinates of all 21 atoms:
Li (0.0000, 0.0000, 0.0000)  3 N 1.97-2.16
La (0.0394, 0.4913, 0.0169)  3 N 2.38-2.60
La (0.2538, 0.2848, 0.3999)  4 N 2.49-2.65, 1 O 2.62
La (0.4567, 0.1464, 0.8632)  5 N 2.42-2.69
La (0.6323, 0.8429, 0.1937)  1 O 2.39, 4 N 2.46-2.64
La (0.8321, 0.7300, 0.6547)  6 N 2.47-2.76
Si (0.1691, 0.7947, 0.4348)  1 O 1.66, 3 N 1.71
Si (0.3776, 0.6481, 0.7891)  4 N 1.73-1.77
Si (0.7163, 0.3586, 0.2711)  4 N 1.72-1.76
Si (0.9212, 0.2098, 0.6242)  4 N 1.71-1.75
N (0.0314, 0.9999, 0.5147)  2 Si 1.71-1.73
N (0.1876, 0.4033, 0.7278)  2 Si 1.73-1.75
N (0.2488, 0.8250, 0.9160)  1 Si 1.74
N (0.3794, 0.7143, 0.5938)  2 Si 1.71-1.77
N (0.4179, 0.3858, 0.1623)  1 Si 1.72
N (0.6861, 0.6552, 0.9022)  1 Si 1.73
N (0.7109, 0.3045, 0.4694)  2 Si 1.74-1.76
N (0.8282, 0.1660, 0.1460)  1 Si 1.73
N (0.8317, 0.1311, 0.7835)  1 Si 1.71
N (0.9291, 0.5891, 0.3149)  2 Si 1.71-1.74
O (0.2842, 0.8795, 0.2953)  1 Si 1.66



First-principles (SCAN) data for YZrSc at its PBEsol-relaxed geometry, as listed in the Alexandria database.

Properties
Crystal system ... tetragonal
Polymorph energy (0 for the lowest one) ... 0.0000 eV/atom
ΔH_f (0 K) ... 96 meV/atom

abc: 7.3573 7.3573 7.3573
angles: 154.27 154.27 36.71
Closest atoms and distances in Å follow each position.
Fractional coordinates of all 3 atoms:
Y (0.0000, 0.0000, 0.0000)  4 Y 3.28, 4 Zr 3.29, 4 Sc 3.46
Zr (0.3328, 0.3328, 0.0000)  4 Sc 3.12, 4 Zr 3.28, 4 Y 3.29
Sc (0.6836, 0.6836, 0.0000)  4 Zr 3.12, 4 Sc 3.28, 4 Y 3.46



First-principles (SCAN) data for Rb2MnFeC6N6 at its PBEsol-relaxed geometry, as listed in the Alexandria database.

Properties
Crystal system ... cubic
Raw total energy ... -12.363 eV per atom

abc: 6.9928 6.9928 6.9928
angles: 60.00 60.00 60.00
Closest atoms and distances in Å follow each position.
Fractional coordinates of all 16 atoms:
Rb (0.2500, 0.2500, 0.2500)  12 N 3.54, 12 C 3.55
Rb (0.7500, 0.7500, 0.7500)  12 N 3.54, 12 C 3.55
Mn (0.0000, 0.0000, 0.0000)  6 N 1.90
Fe (0.5000, 0.5000, 0.5000)  6 C 1.86
C (0.3122, 0.3122, 0.6878)  1 N 1.18
C (0.3122, 0.6878, 0.3122)  1 N 1.18
C (0.3122, 0.6878, 0.6878)  1 N 1.18
C (0.6878, 0.3122, 0.3122)  1 N 1.18
C (0.6878, 0.3122, 0.6878)  1 N 1.18
C (0.6878, 0.6878, 0.3122)  1 N 1.18
N (0.1926, 0.1926, 0.8074)  1 C 1.18
N (0.1926, 0.8074, 0.1926)  1 C 1.18
N (0.1926, 0.8074, 0.8074)  1 C 1.18
N (0.8074, 0.1926, 0.1926)  1 C 1.18
N (0.8074, 0.1926, 0.8074)  1 C 1.18
N (0.8074, 0.8074, 0.1926)  1 C 1.18



First-principles (SCAN) data for LiY2Cr at its PBEsol-relaxed geometry, as listed in the Alexandria database.

Properties
Crystal system ... cubic
ΔH_f (0 K) ... 289 meV/atom

abc: 5.0361 5.0361 5.0361
angles: 60.00 60.00 60.00
Closest atoms and distances in Å follow each position.
Fractional coordinates of all 4 atoms:
Li (0.0000, 0.0000, 0.0000)  4 Y 3.08, 4 Cr 3.08
Y (0.5000, 0.5000, 0.5000)  4 Y 3.08, 4 Cr 3.08
Y (0.7500, 0.7500, 0.7500)  4 Y 3.08, 4 Li 3.08
Cr (0.2500, 0.2500, 0.2500)  4 Y 3.08, 4 Li 3.08



First-principles (SCAN) data for BP2PdSe at its PBEsol-relaxed geometry, as listed in the Alexandria database.

Properties
Crystal system ... tetragonal
Raw total energy ... -15.389 eV per atom

abc: 3.9747 3.9747 4.5163
angles: 90.00 90.00 90.00
Closest atoms and distances in Å follow each position.
Fractional coordinates of all 5 atoms:
B (0.0000, 0.0000, 0.0000)  4 P 1.99
P (0.0000, 0.5000, 0.0000)  2 B 1.99
P (0.5000, 0.0000, 0.0000)  2 B 1.99
Pd (0.5000, 0.5000, 0.5000)  4 Se 2.81, 8 P 3.01
Se (0.0000, 0.0000, 0.5000)  2 B 2.26



First-principles (SCAN) data for AlTl2F5 at its PBEsol-relaxed geometry, as listed in the Alexandria database.

Properties
Crystal system ... orthorhombic
Raw total energy ... -24.136 eV per atom

abc: 6.1852 6.1852 7.4299
angles: 90.00 90.00 90.04
Closest atoms and distances in Å follow each position.
Fractional coordinates of all 16 atoms:
Al (0.0000, 0.0000, 0.0000)  6 F 1.80-1.86
Al (0.0000, 0.0000, 0.5000)  6 F 1.80-1.86
Tl (0.0033, 0.4978, 0.7500)  10 F 2.86-3.12
Tl (0.4978, 0.0033, 0.2500)  10 F 2.86-3.12
Tl (0.5022, 0.9967, 0.7500)  10 F 2.86-3.12
Tl (0.9967, 0.5022, 0.2500)  10 F 2.86-3.12
F (0.0073, 0.9927, 0.7500)  2 Al 1.86
F (0.2064, 0.2064, 0.0000)  1 Al 1.81
F (0.2064, 0.2064, 0.5000)  1 Al 1.81
F (0.2062, 0.7938, 0.0079)  1 Al 1.80
F (0.2062, 0.7938, 0.4921)  1 Al 1.80
F (0.7938, 0.2062, 0.5079)  1 Al 1.80
F (0.7938, 0.2062, 0.9921)  1 Al 1.80
F (0.7936, 0.7936, 0.0000)  1 Al 1.81
F (0.7936, 0.7936, 0.5000)  1 Al 1.81
F (0.9927, 0.0073, 0.2500)  2 Al 1.86